Density functional theory data (PBE) for a geometry-optimized ZrCu3Si2 structure.

electronic total energy = -5.658 eV/atom
crystal system = monoclinic
V = 344 Å³/cell
formation energy without anion corrections = -0.38 eV per atom
N(E_F) = 1.59 states/eV/f.u.

a = 14.224 Å, b = 3.805 Å, c = 7.109 Å
α = 90.00°, β = 116.69°, γ = 90.00°
Space group C2/m (No. 12)
Asymmetric unit:
Zr (0.145, 0.000, 0.064) [4 per cell]
Cu (0.043, 0.000, 0.379) [4 per cell]
Cu (0.103, 0.500, 0.702) [4 per cell]
Cu (0.187, 0.500, 0.459) [4 per cell]
Si (0.019, 0.500, 0.173) [4 per cell]
Si (0.201, 0.000, 0.712) [4 per cell]